CsRb2SmI6: relaxed, GGA-PBE.

```
data_CsRb2SmI6
_chemical_formula_sum 'Cs1 Rb2 Sm1 I6'
_symmetry_space_group_name_H-M 'P 1'
_symmetry_Int_Tables_number 1
_cell_length_a 9.5000
_cell_length_b 9.5000
_cell_length_c 9.5000
_cell_angle_alpha 57.27
_cell_angle_beta 57.27
_cell_angle_gamma 57.27
loop_
_symmetry_equiv_pos_as_xyz
'x,y,z'
loop_
_atom_site_label
_atom_site_fract_x
_atom_site_fract_y
_atom_site_fract_z
Cs1 0.0000 0.0000 0.0000
Rb1 0.2866 0.2866 0.2866
Rb2 0.7986 0.7986 0.7986
Sm1 0.4902 0.4902 0.4902
I1 0.1429 0.6817 0.4027
I2 0.2589 0.5945 0.8302
I3 0.4027 0.1429 0.6817
I4 0.5945 0.8302 0.2589
I5 0.6817 0.4027 0.1429
I6 0.8302 0.2589 0.5945
```

Summary:
* DOS at the Fermi energy: 0.00 states/eV/atom
* V: 568.1 Å³ per cell
* calculated total energy: -3.16 eV/atom
* raw formation energy: -1.479 eV/atom

***

InCo2Br: relaxed, GGA-PBE.

```
data_InCo2Br
_chemical_formula_sum 'In2 Co4 Br2'
_symmetry_space_group_name_H-M 'P 1'
_symmetry_Int_Tables_number 1
_cell_length_a 3.0427
_cell_length_b 5.5712
_cell_length_c 8.4121
_cell_angle_alpha 90.00
_cell_angle_beta 90.00
_cell_angle_gamma 90.00
loop_
_symmetry_equiv_pos_as_xyz
'x,y,z'
loop_
_atom_site_label
_atom_site_fract_x
_atom_site_fract_y
_atom_site_fract_z
In1 0.0000 0.0000 0.0000
In2 0.5000 0.5000 0.5000
Co1 0.0000 0.5000 0.2373
Co2 0.0000 0.5000 0.7627
Co3 0.5000 0.0000 0.2627
Co4 0.5000 0.0000 0.7373
Br1 0.0000 0.0000 0.5000
Br2 0.5000 0.5000 0.0000
```

Summary:
* DOS at the Fermi energy: 1.65 states/eV/atom
* V: 142.6 Å³ per cell
* calculated total energy: -4.03 eV/atom
* raw formation energy: 0.622 eV/atom

***

SrCu2Au6: relaxed, GGA-PBE.

```
data_SrCu2Au6
_chemical_formula_sum 'Sr2 Cu4 Au12'
_symmetry_space_group_name_H-M 'P 1'
_symmetry_Int_Tables_number 1
_cell_length_a 8.4001
_cell_length_b 8.4001
_cell_length_c 8.4001
_cell_angle_alpha 60.00
_cell_angle_beta 60.00
_cell_angle_gamma 60.00
loop_
_symmetry_equiv_pos_as_xyz
'x,y,z'
loop_
_atom_site_label
_atom_site_fract_x
_atom_site_fract_y
_atom_site_fract_z
Sr1 0.1250 0.1250 0.1250
Sr2 0.8750 0.8750 0.8750
Cu1 0.0000 0.5000 0.5000
Cu2 0.5000 0.0000 0.5000
Cu3 0.5000 0.5000 0.0000
Cu4 0.5000 0.5000 0.5000
Au1 0.1337 0.1337 0.6163
Au2 0.1337 0.6163 0.1337
Au3 0.1337 0.6163 0.6163
Au4 0.3837 0.3837 0.8663
Au5 0.3837 0.8663 0.3837
Au6 0.3837 0.8663 0.8663
Au7 0.6163 0.1337 0.1337
Au8 0.6163 0.1337 0.6163
Au9 0.6163 0.6163 0.1337
Au10 0.8663 0.3837 0.3837
Au11 0.8663 0.3837 0.8663
Au12 0.8663 0.8663 0.3837
```

Summary:
* DOS at the Fermi energy: 0.47 states/eV/atom
* V: 419.1 Å³ per cell
* formation enthalpy at 0 K: -0.0028 eV per atom
* calculated total energy: -3.28 eV/atom

***

HfCd2Ge2: relaxed, GGA-PBE.

```
data_HfCd2Ge2
_chemical_formula_sum 'Hf2 Cd4 Ge4'
_symmetry_space_group_name_H-M 'P 1'
_symmetry_Int_Tables_number 1
_cell_length_a 3.8664
_cell_length_b 3.8664
_cell_length_c 14.1386
_cell_angle_alpha 90.00
_cell_angle_beta 90.00
_cell_angle_gamma 90.00
loop_
_symmetry_equiv_pos_as_xyz
'x,y,z'
loop_
_atom_site_label
_atom_site_fract_x
_atom_site_fract_y
_atom_site_fract_z
Hf1 0.0000 0.0000 0.0000
Hf2 0.5000 0.5000 0.5000
Cd1 0.0000 0.5000 0.2500
Cd2 0.0000 0.5000 0.7500
Cd3 0.5000 0.0000 0.2500
Cd4 0.5000 0.0000 0.7500
Ge1 0.0000 0.0000 0.4107
Ge2 0.0000 0.0000 0.5893
Ge3 0.5000 0.5000 0.0893
Ge4 0.5000 0.5000 0.9107
```

Summary:
* DOS at the Fermi energy: 0.60 states/eV/atom
* V: 211.4 Å³ per cell
* formation enthalpy at 0 K: 0.1708 eV per atom
* calculated total energy: -4.03 eV/atom

***

ZrGa2TeW: relaxed, GGA-PBE.

```
data_ZrGa2TeW
_chemical_formula_sum 'Zr1 Ga2 Te1 W1'
_symmetry_space_group_name_H-M 'P 1'
_symmetry_Int_Tables_number 1
_cell_length_a 5.1232
_cell_length_b 5.1232
_cell_length_c 4.9431
_cell_angle_alpha 90.00
_cell_angle_beta 90.00
_cell_angle_gamma 90.00
loop_
_symmetry_equiv_pos_as_xyz
'x,y,z'
loop_
_atom_site_label
_atom_site_fract_x
_atom_site_fract_y
_atom_site_fract_z
Zr1 0.0000 0.0000 0.0000
Ga1 0.0000 0.5000 0.5000
Ga2 0.5000 0.0000 0.5000
Te1 0.5000 0.5000 0.5000
W1 0.5000 0.5000 0.0000
```

Summary:
* DOS at the Fermi energy: 0.93 states/eV/atom
* V: 129.7 Å³ per cell
* calculated total energy: -4.67 eV/atom
* raw formation energy: 1.469 eV/atom

***

BiCI2: relaxed, GGA-PBE.

```
data_BiCI2
_chemical_formula_sum 'Bi4 C4 I8'
_symmetry_space_group_name_H-M 'P 1'
_symmetry_Int_Tables_number 1
_cell_length_a 7.6342
_cell_length_b 7.6342
_cell_length_c 7.6342
_cell_angle_alpha 90.00
_cell_angle_beta 90.00
_cell_angle_gamma 90.00
loop_
_symmetry_equiv_pos_as_xyz
'x,y,z'
loop_
_atom_site_label
_atom_site_fract_x
_atom_site_fract_y
_atom_site_fract_z
Bi1 0.0000 0.0000 0.0000
Bi2 0.0000 0.5000 0.5000
Bi3 0.5000 0.0000 0.5000
Bi4 0.5000 0.5000 0.0000
C1 0.0000 0.0000 0.5000
C2 0.0000 0.5000 0.0000
C3 0.5000 0.0000 0.0000
C4 0.5000 0.5000 0.5000
I1 0.2500 0.2500 0.2500
I2 0.2500 0.2500 0.7500
I3 0.2500 0.7500 0.2500
I4 0.2500 0.7500 0.7500
I5 0.7500 0.2500 0.2500
I6 0.7500 0.2500 0.7500
I7 0.7500 0.7500 0.2500
I8 0.7500 0.7500 0.7500
```

Summary:
* DOS at the Fermi energy: 0.88 states/eV/atom
* V: 444.9 Å³ per cell
* calculated total energy: -2.41 eV/atom
* raw formation energy: 1.645 eV/atom